(1)
Below is Pm5Nd2Ho after structural relaxation, with properties calculated at the GGA-PBE level. Values from VASP.

Structure (Quantum ESPRESSO input):
```
&SYSTEM
  ibrav = 0, nat = 16, ntyp = 3
/
ATOMIC_SPECIES
Pm 145.00 Pm.upf
Nd 144.24 Nd.upf
Ho 164.93 Ho.upf
CELL_PARAMETERS angstrom
8.2840 -5.0813 0.0000
8.2840 5.0813 0.0000
-1.3108 0.0000 6.5548
ATOMIC_POSITIONS crystal
Pm 0.0633 0.9367 0.7500
Pm 0.1201 0.2888 0.0303
Pm 0.2888 0.1201 0.5303
Pm 0.3118 0.4934 0.8443
Pm 0.4934 0.3118 0.3443
Pm 0.5066 0.6882 0.6557
Pm 0.6882 0.5066 0.1557
Pm 0.7112 0.8799 0.4697
Pm 0.8799 0.7112 0.9697
Pm 0.9367 0.0633 0.2500
Nd 0.1740 0.6594 0.3612
Nd 0.3406 0.8260 0.1388
Nd 0.6594 0.1740 0.8612
Nd 0.8260 0.3406 0.6388
Ho 0.0000 0.5000 0.5000
Ho 0.5000 0.0000 0.0000
```

Calculated values
Offset from the most stable computed form (kcal/mol of atoms): 3.04
Energy relative to the elements (meV/atom): 146
Total magnetization (μB per atom): 0.00
Symmetry: C2/c, No. 15
Energy (eV/atom): -4.587

(2)
Below is PmNd2Ho4 after structural relaxation, with properties calculated at the GGA-PBE level. Values from VASP.

Structure (Quantum ESPRESSO input):
```
&SYSTEM
  ibrav = 0, nat = 7, ntyp = 3
/
ATOMIC_SPECIES
Pm 145.00 Pm.upf
Nd 144.24 Nd.upf
Ho 164.93 Ho.upf
CELL_PARAMETERS angstrom
8.4367 -1.7756 0.0000
8.4367 1.7756 0.0000
-4.3959 0.0000 7.6541
ATOMIC_POSITIONS crystal
Pm 0.0000 0.0000 0.0000
Nd 0.0690 0.0690 0.4275
Nd 0.9310 0.9310 0.5725
Ho 0.2934 0.2934 0.7073
Ho 0.3531 0.3531 0.1550
Ho 0.6469 0.6469 0.8450
Ho 0.7066 0.7066 0.2927
```

Calculated values
Offset from the most stable computed form (kcal/mol of atoms): 0.00
Energy relative to the elements (meV/atom): 47
Total magnetization (μB per atom): 0.00
Symmetry: C2/m, No. 12
Energy (eV/atom): -4.610

(3)
Below is Pm12NdHo3 after structural relaxation, with properties calculated at the GGA-PBE level. Values from VASP.

Structure (Quantum ESPRESSO input):
```
&SYSTEM
  ibrav = 0, nat = 16, ntyp = 3
/
ATOMIC_SPECIES
Pm 145.00 Pm.upf
Nd 144.24 Nd.upf
Ho 164.93 Ho.upf
CELL_PARAMETERS angstrom
5.1313 0.0000 0.0000
0.0000 5.1313 0.0000
0.0000 0.0000 20.4884
ATOMIC_POSITIONS crystal
Pm 0.0000 0.0000 0.0000
Pm 0.0000 0.0000 0.2482
Pm 0.0000 0.0000 0.5000
Pm 0.0000 0.0000 0.7518
Pm 0.0000 0.5000 0.1244
Pm 0.0000 0.5000 0.3731
Pm 0.0000 0.5000 0.6269
Pm 0.0000 0.5000 0.8756
Pm 0.5000 0.0000 0.1244
Pm 0.5000 0.0000 0.3731
Pm 0.5000 0.0000 0.6269
Pm 0.5000 0.0000 0.8756
Nd 0.5000 0.5000 0.5000
Ho 0.5000 0.5000 0.0000
Ho 0.5000 0.5000 0.2486
Ho 0.5000 0.5000 0.7514
```

Calculated values
Energy relative to the elements (meV/atom): 15
Total magnetization (μB per atom): 0.00
Symmetry: P4/mmm, No. 123
Energy (eV/atom): -4.704

(4)
Below is Pm6NdHo6 after structural relaxation, with properties calculated at the GGA-PBE level. Values from VASP.

Structure (Quantum ESPRESSO input):
```
&SYSTEM
  ibrav = 0, nat = 13, ntyp = 3
/
ATOMIC_SPECIES
Pm 145.00 Pm.upf
Nd 144.24 Nd.upf
Ho 164.93 Ho.upf
CELL_PARAMETERS angstrom
6.7160 0.0000 0.0000
-3.3580 5.8163 0.0000
0.0000 0.0000 11.4270
ATOMIC_POSITIONS crystal
Pm 0.0000 0.0000 0.1519
Pm 0.0000 0.0000 0.8481
Pm 0.3333 0.6667 0.0000
Pm 0.3333 0.6667 0.5000
Pm 0.6667 0.3333 0.0000
Pm 0.6667 0.3333 0.5000
Nd 0.0000 0.0000 0.5000
Ho 0.0000 0.5000 0.2524
Ho 0.0000 0.5000 0.7476
Ho 0.5000 0.0000 0.2524
Ho 0.5000 0.0000 0.7476
Ho 0.5000 0.5000 0.2524
Ho 0.5000 0.5000 0.7476
```

Calculated values
Energy relative to the elements (meV/atom): 259
Total magnetization (μB per atom): 0.01
Symmetry: P6/mmm, No. 191
Energy (eV/atom): -4.413

(5)
Below is Pm9NdHo2 after structural relaxation, with properties calculated at the GGA-PBE level. Values from VASP.

Structure (Quantum ESPRESSO input):
```
&SYSTEM
  ibrav = 0, nat = 12, ntyp = 3
/
ATOMIC_SPECIES
Pm 145.00 Pm.upf
Nd 144.24 Nd.upf
Ho 164.93 Ho.upf
CELL_PARAMETERS angstrom
5.1336 0.0000 0.0000
0.0000 5.1336 0.0000
0.0000 0.0000 15.3999
ATOMIC_POSITIONS crystal
Pm 0.0000 0.0000 0.0000
Pm 0.0000 0.0000 0.3351
Pm 0.0000 0.0000 0.6649
Pm 0.0000 0.5000 0.1688
Pm 0.0000 0.5000 0.5000
Pm 0.0000 0.5000 0.8312
Pm 0.5000 0.0000 0.1688
Pm 0.5000 0.0000 0.5000
Pm 0.5000 0.0000 0.8312
Nd 0.5000 0.5000 0.0000
Ho 0.5000 0.5000 0.3345
Ho 0.5000 0.5000 0.6655
```

Calculated values
Offset from the most stable computed form (kcal/mol of atoms): 0.00
Energy relative to the elements (meV/atom): 17
Total magnetization (μB per atom): 0.00
Symmetry: P4/mmm, No. 123
Energy (eV/atom): -4.706

(6)
Below is PmNdHo14 after structural relaxation, with properties calculated at the GGA-PBE level. Values from VASP.

Structure (Quantum ESPRESSO input):
```
&SYSTEM
  ibrav = 0, nat = 16, ntyp = 3
/
ATOMIC_SPECIES
Pm 145.00 Pm.upf
Nd 144.24 Nd.upf
Ho 164.93 Ho.upf
CELL_PARAMETERS angstrom
11.4490 0.0000 0.0000
0.0000 3.5609 6.1544
0.0000 -3.5609 6.1544
ATOMIC_POSITIONS crystal
Pm 0.0000 0.0000 0.0000
Nd 0.0000 0.4999 0.4999
Ho 0.0000 0.0002 0.5001
Ho 0.0000 0.5001 0.0002
Ho 0.2516 0.1673 0.1673
Ho 0.2518 0.6674 0.6674
Ho 0.2533 0.1668 0.6670
Ho 0.2533 0.6670 0.1668
Ho 0.5000 0.3339 0.3339
Ho 0.5000 0.3343 0.8344
Ho 0.5000 0.8344 0.3343
Ho 0.5000 0.8340 0.8340
Ho 0.7467 0.1668 0.6670
Ho 0.7467 0.6670 0.1668
Ho 0.7484 0.1673 0.1673
Ho 0.7482 0.6674 0.6674
```

Calculated values
Energy relative to the elements (meV/atom): 7
Total magnetization (μB per atom): 0.00
Symmetry: Amm2, No. 38
Energy (eV/atom): -4.593

(7)
Below is Pm5Nd6Ho after structural relaxation, with properties calculated at the GGA-PBE level. Values from VASP.

Structure (Quantum ESPRESSO input):
```
&SYSTEM
  ibrav = 0, nat = 12, ntyp = 3
/
ATOMIC_SPECIES
Pm 145.00 Pm.upf
Nd 144.24 Nd.upf
Ho 164.93 Ho.upf
CELL_PARAMETERS angstrom
5.1735 0.0000 0.0000
2.5867 9.3036 0.0000
2.5778 3.5840 8.6004
ATOMIC_POSITIONS crystal
Pm 0.0000 0.0000 0.0000
Pm 0.3333 0.1668 0.1668
Pm 0.3340 0.6660 0.6660
Pm 0.6660 0.3340 0.3340
Pm 0.6667 0.8332 0.8332
Nd 0.1663 0.0848 0.5827
Nd 0.1662 0.5826 0.0848
Nd 0.5000 0.2515 0.7484
Nd 0.5000 0.7485 0.2516
Nd 0.8338 0.4174 0.9152
Nd 0.8337 0.9152 0.4173
Ho 0.0000 0.5000 0.5000
```

Calculated values
Energy relative to the elements (meV/atom): 14
Total magnetization (μB per atom): 0.00
Symmetry: P-1, No. 2
Energy (eV/atom): -4.731

(8)
Below is PmNd7Ho12 after structural relaxation, with properties calculated at the GGA-PBE level. Values from VASP.

Structure (Quantum ESPRESSO input):
```
&SYSTEM
  ibrav = 0, nat = 20, ntyp = 3
/
ATOMIC_SPECIES
Pm 145.00 Pm.upf
Nd 144.24 Nd.upf
Ho 164.93 Ho.upf
CELL_PARAMETERS angstrom
-5.6531 5.6531 5.6531
5.6531 -5.6531 5.6531
5.6531 5.6531 -5.6531
ATOMIC_POSITIONS crystal
Pm 0.0000 0.0000 0.0000
Nd 0.0000 0.0000 0.5000
Nd 0.0000 0.5000 0.0000
Nd 0.0000 0.5000 0.5000
Nd 0.5000 0.0000 0.0000
Nd 0.5000 0.0000 0.5000
Nd 0.5000 0.5000 0.0000
Nd 0.5000 0.5000 0.5000
Ho 0.0000 0.2492 0.7508
Ho 0.0000 0.7508 0.2492
Ho 0.2492 0.0000 0.7508
Ho 0.2492 0.2492 0.4985
Ho 0.2492 0.4985 0.2492
Ho 0.2492 0.7508 0.0000
Ho 0.4985 0.2492 0.2492
Ho 0.5015 0.7508 0.7508
Ho 0.7508 0.0000 0.2492
Ho 0.7508 0.2492 0.0000
Ho 0.7508 0.5015 0.7508
Ho 0.7508 0.7508 0.5015
```

Calculated values
Offset from the most stable computed form (kcal/mol of atoms): 9.36
Energy relative to the elements (meV/atom): 637
Total magnetization (μB per atom): 0.00
Symmetry: Im-3m, No. 229
Energy (eV/atom): -4.016